BaSrOF2 after structural relaxation. Source: the Alexandria database, functional PBE.

Properties
Crystal system: tetragonal
DFT total energy, eV/atom: -5.534

Unit cell a=4.6019 b=4.6019 c=4.8977 alpha=90.00 beta=90.00 gamma=90.00
Space group P4/mmm (No. 123)
Asymmetric unit:
Ba (0.0000, 0.0000, 0.0000) [1 per cell]
Sr (0.5000, 0.5000, 0.5000) [1 per cell]
O (0.5000, 0.5000, 0.0000) [1 per cell]
F (0.0000, 0.5000, 0.5000) [2 per cell]

CoNi4H3 after structural relaxation. Source: the Alexandria database, functional PBE.

Properties
Crystal system: monoclinic
DFT total energy, eV/atom: -5.029

Unit cell a=8.8724 b=4.4593 c=6.6332 alpha=90.00 beta=112.39 gamma=90.00
Space group Cc (No. 9)
Asymmetric unit:
Co (0.0000, 0.1649, 0.0000) [4 per cell]
Ni (0.0978, 0.3302, 0.6985) [4 per cell]
Ni (0.2018, 0.1654, 0.3985) [4 per cell]
Ni (0.3044, 0.3319, 0.1021) [4 per cell]
Ni (0.4045, 0.1657, 0.7997) [4 per cell]
H (0.0947, 0.4966, 0.4484) [4 per cell]
H (0.2049, 0.0030, 0.6515) [4 per cell]
H (0.3083, 0.4924, 0.8465) [4 per cell]

NaNiSN2 after structural relaxation. Source: the Alexandria database, functional PBE.

Properties
Crystal system: tetragonal
DFT total energy, eV/atom: -4.699

Unit cell a=3.7893 b=3.7893 c=4.9069 alpha=90.00 beta=90.00 gamma=90.00
Space group P4/mmm (No. 123)
Asymmetric unit:
Na (0.0000, 0.0000, 0.0000) [1 per cell]
Ni (0.5000, 0.5000, 0.5000) [1 per cell]
S (0.5000, 0.5000, 0.0000) [1 per cell]
N (0.0000, 0.5000, 0.5000) [2 per cell]

DyScAlNi after structural relaxation. Source: the Alexandria database, functional PBE.

Properties
Crystal system: cubic
ΔH_f (0 K), kJ/mol of atoms: -33.30

Unit cell a=6.8150 b=6.8150 c=6.8150 alpha=90.00 beta=90.00 gamma=90.00
Space group F-43m (No. 216)
Asymmetric unit:
Dy (0.0000, 0.0000, 0.0000) [4 per cell]
Sc (0.0000, 0.0000, 0.5000) [4 per cell]
Al (0.2500, 0.2500, 0.2500) [4 per cell]
Ni (0.2500, 0.2500, 0.7500) [4 per cell]

KZrIn after structural relaxation. Source: the Alexandria database, functional PBE.

Properties
Crystal system: triclinic
ΔH_f (0 K), kJ/mol of atoms: 11.68

Unit cell a=3.3146 b=3.3204 c=16.6951 alpha=89.67 beta=84.42 gamma=90.00
Space group P1 (No. 1)
Asymmetric unit:
K (0.0000, 0.0000, 0.0000) [1 per cell]
K (0.1363, 0.4789, 0.7420) [1 per cell]
Zr (0.7342, 0.9832, 0.5425) [1 per cell]
Zr (0.8547, 0.9903, 0.2961) [1 per cell]
In (0.2935, 0.4865, 0.4212) [1 per cell]
In (0.4172, 0.4939, 0.1680) [1 per cell]

Er2ScAu6 after structural relaxation. Source: the Alexandria database, functional PBE.

Properties
Crystal system: monoclinic
ΔH_f (0 K), kJ/mol of atoms: -75.02

Unit cell a=5.1689 b=15.8227 c=5.1702 alpha=90.00 beta=119.77 gamma=90.00
Space group C2/m (No. 12)
Asymmetric unit:
Er (0.0000, 0.1647, 0.0000) [4 per cell]
Sc (0.0000, 0.5000, 0.5000) [2 per cell]
Au (0.1575, 0.0000, 0.8281) [4 per cell]
Au (0.1632, 0.3367, 0.3347) [8 per cell]

BaRu2Pb after structural relaxation. Source: the Alexandria database, functional PBE.

Properties
Crystal system: orthorhombic
ΔH_f (0 K), kJ/mol of atoms: 38.62

Unit cell a=4.4899 b=5.1166 c=8.3126 alpha=90.00 beta=90.00 gamma=90.00
Space group Cmm2 (No. 35)
Asymmetric unit:
Ba (0.0000, 0.0000, 0.0000) [2 per cell]
Ru (0.0000, 0.0000, 0.4147) [2 per cell]
Ru (0.0000, 0.5000, 0.2891) [2 per cell]
Pb (0.0000, 0.5000, 0.6431) [2 per cell]

Nd2AgPd after structural relaxation. Source: the Alexandria database, functional PBE.

Properties
Crystal system: monoclinic
ΔH_f (0 K), kJ/mol of atoms: -50.40

Unit cell a=5.8902 b=4.8107 c=7.8007 alpha=90.00 beta=109.86 gamma=90.00
Space group P2_1/m (No. 11)
Asymmetric unit:
Nd (0.2138, 0.2500, 0.4328) [2 per cell]
Nd (0.2323, 0.2500, 0.9282) [2 per cell]
Ag (0.3323, 0.7500, 0.2120) [2 per cell]
Pd (0.3429, 0.7500, 0.7078) [2 per cell]

In2OsPb after structural relaxation. Source: the Alexandria database, functional PBE.

Properties
Crystal system: monoclinic
ΔH_f (0 K), kJ/mol of atoms: 57.75

Unit cell a=3.5887 b=4.8690 c=5.4926 alpha=90.00 beta=106.47 gamma=90.00
Space group P2/m (No. 10)
Asymmetric unit:
In (0.1601, 0.0000, 0.2769) [2 per cell]
Os (0.5000, 0.5000, 0.5000) [1 per cell]
Pb (0.5000, 0.5000, 0.0000) [1 per cell]

ErTm3Sc6 after structural relaxation. Source: the Alexandria database, functional PBE.

Properties
Crystal system: orthorhombic
ΔH_f (0 K), kJ/mol of atoms: 14.94

Unit cell a=10.4230 b=17.8746 c=5.8082 alpha=90.00 beta=90.00 gamma=90.00
Space group Cmc2_1 (No. 36)
Asymmetric unit:
Er (0.0000, 0.2093, 0.0000) [4 per cell]
Tm (0.0000, 0.3941, 0.9077) [4 per cell]
Tm (0.1736, 0.1057, 0.3125) [8 per cell]
Sc (0.0000, 0.0474, 0.7740) [4 per cell]
Sc (0.0000, 0.2839, 0.4859) [4 per cell]
Sc (0.1650, 0.4490, 0.3683) [8 per cell]
Sc (0.2484, 0.2132, 0.7078) [8 per cell]

Number 1: V 20.7 Å³ per atom. Number 2: V 7.6 Å³ per atom. Number 3: V 14.1 Å³ per atom. Number 4: V 19.8 Å³ per atom. Number 5: V 30.5 Å³ per atom. Number 6: V 20.4 Å³ per atom. Number 7: V 23.9 Å³ per atom. Number 8: V 26.0 Å³ per atom. Number 9: V 23.0 Å³ per atom. Number 10: V 27.1 Å³ per atom.